# La3Tc

Crystalline La3Tc at its relaxed geometry (PBE, Alexandria).

Cell and atoms, written as POSCAR:
```
La3Tc
1.0
3.644 0.000 0.005
0.000 4.567 0.000
1.590 0.000 6.734
La Tc
3 1
Direct
0.542 0.000 0.541 La
0.250 0.500 0.250 La
0.958 0.000 0.959 La
0.750 0.500 0.750 Tc
```

* magnetic moment: 0.000 μB/atom
* crystal system: monoclinic
* SG: P2/m
* ΔH_f (0 K): 0.21 eV/atom